No. 1
VASP calculation (GGA-PBE) on a relaxed SbIr3W crystal.

Lattice parameters (Å, degrees): 4.7414 4.7414 4.7414 90.00 90.00 90.00
Positions (direct):
Ir 0.0000 0.5000 0.0000
Ir 0.0000 0.0000 0.5000
Ir 0.5000 0.0000 0.0000
W 0.5000 0.5000 0.5000
Sb 0.0000 0.0000 0.0000

V = 21.318 Å³/atom
VASP energy = -6.45 eV per atom

---

No. 2
VASP calculation (GGA-PBE) on a relaxed SbIrW2 crystal.

Lattice parameters (Å, degrees): 5.0621 5.0621 2.9326 89.97 89.97 116.30
Positions (direct):
W 0.0000 0.0000 0.0000
W 0.5000 0.5000 0.0000
Ir 0.5000 0.0000 0.5000
Sb 0.0000 0.5000 0.5000

V = 16.842 Å³/atom
VASP energy = -9.27 eV per atom

---

No. 3
VASP calculation (GGA-PBE) on a relaxed SbIrW2 crystal.

Lattice parameters (Å, degrees): 4.5770 3.8436 3.8436 90.00 90.00 90.00
Positions (direct):
Ir 0.5000 0.5000 0.0000
W 0.0000 0.5000 0.5000
W 0.0000 0.0000 0.0000
Sb 0.5000 0.0000 0.5000

V = 16.905 Å³/atom
VASP energy = -9.29 eV per atom

---

No. 4
VASP calculation (GGA-PBE) on a relaxed Sb2IrW crystal.

Lattice parameters (Å, degrees): 4.6427 4.6427 5.5516 78.52 78.52 39.87
Positions (direct):
Ir 0.2500 0.2500 0.2500
Sb 0.4998 0.4998 0.5057
Sb 0.0002 0.0002 0.9943
W 0.7500 0.7500 0.7500

V = 18.743 Å³/atom
VASP energy = -7.02 eV per atom

---

| no. | raw formation energy (eV per atom) | Fermi-level density of states (states/eV per cell) | ρ (g cm⁻³) |
| --- | --- | --- | --- |
| 1 | 2.286 | 10.5 | 13.7 |
| 2 | 0.453 | 3.3 | 16.8 |
| 3 | 0.437 | 2.6 | 16.7 |
| 4 | 0.499 | 3.4 | 13.7 |